{"formula": "YOsS2Cl", "functional": "PBE", "state": "optimized geometry", "e_tot_ev_per_fu": -25.52, "polymorph_energy_ev_per_atom": 0.740, "magmom_total_mub_per_fu": 4.7, "spacegroup": "P4/mmm, No. 123", "e_form_raw_ev_per_atom": 0.46, "vol_a3_per_cell": 141.0, "lattice": [[5.2733, 0.0000, 0.0000], [0.0000, 5.2733, 0.0000], [0.0000, 0.0000, 5.0710]], "species": ["Y", "Os", "S", "S", "Cl"], "fractional_positions": [[0.0000, 0.0000, 0.0000], [0.5000, 0.5000, 0.5000], [0.0000, 0.5000, 0.0000], [0.5000, 0.0000, 0.0000], [0.0000, 0.0000, 0.5000]]}